DFT (PBE+U) results for a relaxed structure of UCrCd2O6.

The density of states at the Fermi level is 2.24 states/eV/cell. The calculation puts the total DFT energy (no corrections) at -6.85 eV/atom.

It has space group P4mm (No. 99), with a = 5.701 Å, b = 5.701 Å, c = 4.240 Å, α = 90.00°, β = 90.00° and γ = 90.00°. The distinct sites, in fractional coordinates, are U at (0.000, 0.000, 0.000), Cr at (0.500, 0.500, 0.003), Cd at (0.000, 0.500, 0.430), O at (0.000, 0.000, 0.505), O at (0.255, 0.255, 0.026) and O at (0.500, 0.500, 0.511).


DFT (PBE+U) results for a relaxed structure of V2CrCd2O6.

The density of states at the Fermi level is 5.79 states/eV/cell. The calculation puts the total DFT energy (no corrections) at -6.39 eV/atom.

It has space group C2/m (No. 12), with a = 5.229 Å, b = 8.908 Å, c = 6.466 Å, α = 90.00°, β = 95.46° and γ = 90.00°. The distinct sites, in fractional coordinates, are V at (0.000, 0.159, 0.000), Cr at (0.000, 0.500, 0.000), Cd at (0.000, 0.340, 0.500), O at (0.186, 0.330, 0.160) and O at (0.191, 0.000, 0.165).


DFT (PBE+U) results for a relaxed structure of VCr2Cd2O6.

The density of states at the Fermi level is 4.87 states/eV/cell. The calculation puts the total DFT energy (no corrections) at -6.39 eV/atom.

It has space group C2/m (No. 12), with a = 5.259 Å, b = 8.886 Å, c = 6.752 Å, α = 90.00°, β = 111.41° and γ = 90.00°. The distinct sites, in fractional coordinates, are V at (0.000, 0.000, 0.000), Cr at (0.000, 0.333, 0.000), Cd at (0.000, 0.323, 0.500), O at (0.089, 0.163, 0.837) and O at (0.096, 0.500, 0.832).


DFT (PBE+U) results for a relaxed structure of VCrCdO5.

The calculation puts the total DFT energy (no corrections) at -6.75 eV/atom.

It has space group C2/c (No. 15), with a = 7.204 Å, b = 8.738 Å, c = 7.414 Å, α = 90.00°, β = 114.97° and γ = 90.00°. The distinct sites, in fractional coordinates, are V at (0.000, 0.165, 0.250), Cr at (0.000, 0.500, 0.000), Cd at (0.000, 0.185, 0.750), O at (0.000, 0.426, 0.750), O at (0.076, 0.280, 0.102) and O at (0.194, 0.040, 0.398).